An optimized crystal structure of Mg2ScPb. Source: Alexandria via LeMat-Bulk, functional PBE-GGA.

a b c (Å): 5.1335 5.1335 5.1335
angles (deg): 60.00 60.00 60.00
Closest atoms and distances in Å follow each position.
Fractional positions:
Sc (0.7500, 0.7500, 0.7500)  4 Pb 3.14, 4 Mg 3.14
Mg (0.2500, 0.2500, 0.2500)  4 Mg 3.14, 4 Pb 3.14
Mg (0.0000, 0.0000, 0.0000)  4 Sc 3.14, 4 Mg 3.14
Pb (0.5000, 0.5000, 0.5000)  4 Mg 3.14, 4 Sc 3.14

Volume, Å³/f.u.: 95.66
Size of the total moment, μB per formula unit: 0.001
Energy relative to the elements, eV per atom: -0.047
Energy, eV per formula unit: -13.42

---

An optimized crystal structure of MgScPb2. Source: Alexandria via LeMat-Bulk, functional PBE-GGA.

a b c (Å): 5.3518 5.3518 5.3518
angles (deg): 60.00 60.00 60.00
Closest atoms and distances in Å follow each position.
Fractional positions:
Pb (0.0000, 0.0000, 0.0000)  4 Sc 3.28, 4 Pb 3.28
Pb (0.2500, 0.2500, 0.2500)  4 Pb 3.28, 4 Mg 3.28
Sc (0.7500, 0.7500, 0.7500)  4 Pb 3.28, 4 Mg 3.28
Mg (0.5000, 0.5000, 0.5000)  4 Pb 3.28, 4 Sc 3.28

Volume, Å³/f.u.: 108.39
Size of the total moment, μB per formula unit: 0.000
Energy relative to the elements, eV per atom: 0.036
Energy, eV per formula unit: -15.20

---

An optimized crystal structure of Mg2ScPb4. Source: Alexandria via LeMat-Bulk, functional PBE-GGA.

a b c (Å): 5.6419 5.6419 8.3410
angles (deg): 70.23 70.23 90.00
Closest atoms and distances in Å follow each position.
Fractional positions:
Pb (0.0000, 0.5000, 0.0000)  2 Sc 2.82
Pb (0.5000, 0.0000, 0.0000)  2 Sc 2.82
Pb (0.1962, 0.1962, 0.6076)  1 Sc 2.87, 1 Mg 2.88
Pb (0.8038, 0.8038, 0.3924)  1 Sc 2.87, 1 Mg 2.88
Sc (0.0000, 0.0000, 0.0000)  6 Pb 2.82-2.87
Mg (0.3929, 0.3929, 0.2143)  1 Pb 2.88, 1 Mg 3.14
Mg (0.6071, 0.6071, 0.7857)  1 Pb 2.88, 1 Mg 3.14

Volume, Å³/f.u.: 233.16
E above lowest polymorph, meV/atom: 302.7
Size of the total moment, μB per formula unit: 0.000
Energy relative to the elements, eV per atom: 0.190
Energy, eV per formula unit: -23.02

---

An optimized crystal structure of Mg5Sc6Pb. Source: Alexandria via LeMat-Bulk, functional PBE-GGA.

a b c (Å): 5.0839 7.1241 8.0640
angles (deg): 90.00 71.63 90.00
Closest atoms and distances in Å follow each position.
Fractional positions:
Mg (0.3349, 0.5000, 0.3303)  8 Sc 3.07-3.08
Mg (0.0000, 0.5000, 0.0000)  8 Sc 3.08-3.12
Mg (0.3284, 0.0000, 0.3433)  8 Sc 3.04-3.19
Mg (0.6716, 0.0000, 0.6567)  8 Sc 3.04-3.19
Mg (0.6651, 0.5000, 0.6697)  8 Sc 3.07-3.08
Sc (0.5000, 0.7453, 0.0000)  6 Mg 3.07-3.19, 2 Pb 3.12
Sc (0.8311, 0.2556, 0.3378)  7 Mg 3.04-3.13, 1 Pb 3.16
Sc (0.1689, 0.2556, 0.6622)  7 Mg 3.04-3.13, 1 Pb 3.16
Sc (0.1689, 0.7444, 0.6622)  7 Mg 3.04-3.13, 1 Pb 3.16
Sc (0.8311, 0.7444, 0.3378)  7 Mg 3.04-3.13, 1 Pb 3.16
Sc (0.5000, 0.2547, 0.0000)  6 Mg 3.07-3.19, 2 Pb 3.12
Pb (0.0000, 0.0000, 0.0000)  8 Sc 3.12-3.16

Volume, Å³/f.u.: 277.17
Size of the total moment, μB per formula unit: 0.000
Energy relative to the elements, eV per atom: -0.128
Energy, eV per formula unit: -51.21

---

An optimized crystal structure of Mg7ScPb4. Source: Alexandria via LeMat-Bulk, functional PBE-GGA.

a b c (Å): 5.7101 9.9188 6.6051
angles (deg): 83.27 64.39 73.27
Closest atoms and distances in Å follow each position.
Fractional positions:
Pb (0.7285, 0.6854, 0.8576)  6 Mg 3.02-3.18
Pb (0.4074, 0.7758, 0.4094)  8 Mg 2.96-3.25
Pb (0.2715, 0.3146, 0.1424)  6 Mg 3.02-3.18
Pb (0.5926, 0.2242, 0.5906)  8 Mg 2.96-3.25
Mg (0.6582, 0.4517, 0.2319)  5 Pb 3.05-3.25, 4 Mg 3.15-3.36
Mg (0.7858, 0.9160, 0.5123)  4 Pb 2.96-3.21, 4 Mg 2.99-3.27, 1 Sc 3.16
Mg (0.9576, 0.3647, 0.7200)  2 Mg 2.99-3.15, 3 Pb 3.15-3.24
Mg (0.0424, 0.6353, 0.2800)  2 Mg 2.99-3.15, 3 Pb 3.15-3.24
Mg (0.2142, 0.0840, 0.4877)  4 Pb 2.96-3.21, 4 Mg 2.99-3.27, 1 Sc 3.16
Mg (0.3418, 0.5483, 0.7681)  5 Pb 3.05-3.25, 4 Mg 3.15-3.36
Mg (0.5000, 0.0000, 0.0000)  2 Sc 2.86, 2 Mg 3.01, 2 Pb 3.10
Sc (0.0000, 0.0000, 0.0000)  4 Mg 2.86-3.16

Volume, Å³/f.u.: 323.05
Size of the total moment, μB per formula unit: 0.196
Energy relative to the elements, eV per atom: 0.130
Energy, eV per formula unit: -30.77

---

An optimized crystal structure of Mg2ScPb. Source: Alexandria via LeMat-Bulk, functional PBE-GGA.

a b c (Å): 4.4254 4.4254 4.6680
angles (deg): 90.00 90.00 90.00
Closest atoms and distances in Å follow each position.
Fractional positions:
Pb (0.5000, 0.0000, 0.5000)  4 Sc 3.13, 8 Mg 3.22
Sc (0.0000, 0.5000, 0.5000)  4 Pb 3.13, 8 Mg 3.22
Mg (0.5000, 0.5000, 0.0000)  4 Mg 3.13, 4 Pb 3.22, 4 Sc 3.22
Mg (0.0000, 0.0000, 0.0000)  4 Mg 3.13, 4 Pb 3.22, 4 Sc 3.22

Volume, Å³/f.u.: 91.42
Size of the total moment, μB per formula unit: 0.000
Energy relative to the elements, eV per atom: -0.249
Energy, eV per formula unit: -14.22

---

An optimized crystal structure of MgScPb2. Source: Alexandria via LeMat-Bulk, functional PBE-GGA.

a b c (Å): 4.5493 4.5493 6.7456
angles (deg): 70.29 70.29 60.00
Closest atoms and distances in Å follow each position.
Fractional positions:
Pb (0.2524, 0.2524, 0.2429)  3 Sc 3.09, 3 Mg 3.14, 1 Pb 3.19
Pb (0.0813, 0.0813, 0.7561)  3 Sc 2.97, 3 Mg 3.01, 1 Pb 3.19
Sc (0.6731, 0.6731, 0.9807)  6 Pb 2.97-3.09
Mg (0.4932, 0.4932, 0.5203)  6 Pb 3.01-3.14, 1 Sc 3.35

Volume, Å³/f.u.: 111.36
Size of the total moment, μB per formula unit: 0.000
Energy relative to the elements, eV per atom: -0.103
Energy, eV per formula unit: -15.76

---

An optimized crystal structure of MgSc2Pb. Source: Alexandria via LeMat-Bulk, functional PBE-GGA.

a b c (Å): 11.1902 11.1902 11.1902
angles (deg): 17.23 17.23 17.23
Closest atoms and distances in Å follow each position.
Fractional positions:
Sc (0.9087, 0.9087, 0.9087)  1 Pb 3.02, 3 Mg 3.16, 6 Sc 3.35
Sc (0.0913, 0.0913, 0.0913)  1 Pb 3.02, 3 Mg 3.16, 6 Sc 3.35
Mg (0.5000, 0.5000, 0.5000)  6 Sc 3.16, 6 Mg 3.35
Pb (0.0000, 0.0000, 0.0000)  2 Sc 3.02, 6 Pb 3.35

Volume, Å³/f.u.: 107.26
Size of the total moment, μB per formula unit: 0.000
Energy relative to the elements, eV per atom: 0.134
Energy, eV per formula unit: -17.43

---

An optimized crystal structure of MgScPb2. Source: Alexandria via LeMat-Bulk, functional PBE-GGA.

a b c (Å): 3.4081 3.4081 8.7776
angles (deg): 90.00 90.00 90.00
Closest atoms and distances in Å follow each position.
Fractional positions:
Mg (0.5000, 0.5000, 0.7500)  8 Pb 3.27, 4 Mg 3.41
Pb (0.0000, 0.0000, 0.4989)  4 Sc 3.25, 4 Mg 3.27, 4 Pb 3.41
Pb (0.0000, 0.0000, 0.0011)  4 Sc 3.25, 4 Mg 3.27, 4 Pb 3.41
Sc (0.5000, 0.5000, 0.2500)  8 Pb 3.25, 4 Sc 3.41

Volume, Å³/f.u.: 101.95
Size of the total moment, μB per formula unit: 0.001
Energy relative to the elements, eV per atom: -0.143
Energy, eV per formula unit: -15.92

---

An optimized crystal structure of Mg14ScPb. Source: Alexandria via LeMat-Bulk, functional PBE-GGA.

a b c (Å): 6.3844 6.3844 9.2425
angles (deg): 90.00 90.00 90.01
Closest atoms and distances in Å follow each position.
Fractional positions:
Sc (0.8750, 0.8750, 0.5000)  12 Mg 3.19-3.23
Mg (0.1210, 0.6290, 0.7540)  10 Mg 3.14-3.26, 1 Sc 3.23, 1 Pb 3.28
Mg (0.1210, 0.6290, 0.2460)  10 Mg 3.14-3.26, 1 Sc 3.23, 1 Pb 3.28
Mg (0.1211, 0.1211, 0.7540)  10 Mg 3.14-3.26, 1 Sc 3.23, 1 Pb 3.28
Mg (0.8750, 0.8750, 0.0000)  12 Mg 3.18-3.19
Mg (0.1211, 0.1211, 0.2460)  10 Mg 3.14-3.26, 1 Sc 3.23, 1 Pb 3.28
Mg (0.8750, 0.3750, 0.0000)  12 Mg 3.19-3.20
Mg (0.6289, 0.6289, 0.2460)  10 Mg 3.14-3.26, 1 Sc 3.23, 1 Pb 3.28
Mg (0.6290, 0.1210, 0.2460)  10 Mg 3.14-3.26, 1 Sc 3.23, 1 Pb 3.28
Mg (0.3750, 0.3750, 0.0000)  12 Mg 3.19-3.23
Mg (0.3750, 0.8750, 0.0000)  12 Mg 3.19-3.20
Mg (0.6289, 0.6289, 0.7540)  10 Mg 3.14-3.26, 1 Sc 3.23, 1 Pb 3.28
Mg (0.3750, 0.8750, 0.5000)  2 Sc 3.19, 2 Pb 3.19, 8 Mg 3.26
Mg (0.6290, 0.1210, 0.7540)  10 Mg 3.14-3.26, 1 Sc 3.23, 1 Pb 3.28
Mg (0.8750, 0.3750, 0.5000)  2 Sc 3.19, 2 Pb 3.19, 8 Mg 3.26
Pb (0.3750, 0.3750, 0.5000)  12 Mg 3.19-3.28

Volume, Å³/f.u.: 376.73
Size of the total moment, μB per formula unit: 0.000
Energy relative to the elements, eV per atom: 0.001
Energy, eV per formula unit: -32.34

---

An optimized crystal structure of MgScPb2. Source: Alexandria via LeMat-Bulk, functional PBE-GGA.

a b c (Å): 5.4130 3.4656 5.4120
angles (deg): 90.00 90.00 90.00
Closest atoms and distances in Å follow each position.
Fractional positions:
Pb (0.0000, 0.1251, 0.8767)  4 Sc 3.21, 4 Mg 3.21, 2 Pb 3.47
Pb (0.5000, 0.1249, 0.3737)  4 Mg 3.21-3.22, 4 Sc 3.21, 2 Pb 3.47
Mg (0.5000, 0.6250, 0.8725)  8 Pb 3.21-3.22, 2 Mg 3.47
Sc (0.0000, 0.6250, 0.3771)  8 Pb 3.21, 2 Sc 3.47

Volume, Å³/f.u.: 101.53
Size of the total moment, μB per formula unit: 0.000
Energy relative to the elements, eV per atom: -0.194
Energy, eV per formula unit: -16.12

---

An optimized crystal structure of MgSc2Pb. Source: Alexandria via LeMat-Bulk, functional PBE-GGA.

a b c (Å): 10.1056 10.1056 10.1056
angles (deg): 19.45 19.45 19.45
Closest atoms and distances in Å follow each position.
Fractional positions:
Pb (0.7500, 0.7500, 0.7500)  6 Sc 3.16, 6 Pb 3.41
Sc (0.0002, 0.0002, 0.0002)  3 Pb 3.16, 3 Mg 3.17, 6 Sc 3.41
Sc (0.4998, 0.4998, 0.4998)  3 Pb 3.16, 3 Mg 3.17, 6 Sc 3.41
Mg (0.2500, 0.2500, 0.2500)  6 Sc 3.17, 6 Mg 3.41

Volume, Å³/f.u.: 100.08
Size of the total moment, μB per formula unit: 0.043
Energy relative to the elements, eV per atom: -0.083
Energy, eV per formula unit: -18.30